(1)
A geometry-optimized BaNi2 structure, computed with PBE.

* SG: Cmcm, No. 63
* formation energy: 0.17 eV per atom

Cell: 5.898 5.898 4.390 Å, 90.00 90.00 129.07°
Element x y z (fractional)
Ba  0.245  0.245  0.750
Ba  0.755  0.755  0.250
Ni  0.390  0.859  0.750
Ni  0.859  0.390  0.750
Ni  0.141  0.610  0.250
Ni  0.610  0.141  0.250

(2)
A geometry-optimized ReTc6Ru2 structure, computed with PBE.

* SG: C2/c, No. 15
* formation energy: 0.12 eV per atom

Cell: 6.815 6.980 6.815 Å, 65.08 84.02 65.08°
Element x y z (fractional)
Tc  0.061  0.854  0.390
Tc  0.984  0.684  0.820
Tc  0.820  0.184  0.984
Tc  0.405  0.549  0.657
Tc  0.390  0.354  0.061
Tc  0.016  0.316  0.180
Tc  0.343  0.951  0.595
Tc  0.939  0.146  0.610
Tc  0.657  0.049  0.405
Tc  0.610  0.646  0.939
Tc  0.180  0.816  0.016
Tc  0.595  0.451  0.343
Ru  0.204  0.435  0.407
Ru  0.796  0.565  0.593
Ru  0.593  0.065  0.796
Ru  0.407  0.935  0.204
Re  0.825  0.750  0.175
Re  0.175  0.250  0.825

Q: Among the records above, which one has the lowest formation energy?
A: ReTc6Ru2

Q: The highest formation energy belongs to which entry?
A: BaNi2

Q: Which value of formation energy does entry 1 give?
A: 0.17 eV per atom

Q: formation energy of number 1 (BaNi2)?
A: 0.17 eV per atom